1.
Computed, not measured: crystalline Li15Cd2Ag2 at its relaxed geometry at the PBE-GGA level of DFT.

Summary:
As for the density of states at the Fermi level: 9.07 states/eV per cell. Its crystal system is trigonal. The energy of formation comes out at -0.4 eV/f.u. The space-group type is R-3m (166).

abc: 7.5350 7.5350 7.5350
angles: 65.55 65.55 65.55
Sites, in units of the cell vectors:
Li: 0.0000 0.5000 0.0000
Li: 0.4375 0.4375 0.8038
Li: 0.0000 0.3047 0.6953
Li: 0.4375 0.8038 0.4375
Li: 0.6953 0.3047 0.0000
Li: 0.0000 0.6953 0.3047
Li: 0.0000 0.0000 0.5000
Li: 0.8038 0.4375 0.4375
Li: 0.6953 0.0000 0.3047
Li: 0.5625 0.5625 0.1962
Li: 0.3047 0.6953 0.0000
Li: 0.1962 0.5625 0.5625
Li: 0.3047 0.0000 0.6953
Li: 0.5625 0.1962 0.5625
Li: 0.5000 0.0000 0.0000
Cd: 0.0912 0.0912 0.0912
Cd: 0.9088 0.9088 0.9088
Ag: 0.7120 0.7120 0.7120
Ag: 0.2880 0.2880 0.2880

2.
Computed, not measured: crystalline Tb3PrNd4 at its relaxed geometry at the PBE-GGA level of DFT.

Summary:
As for the density of states at the Fermi level: 23.68 states/eV per cell. For the energy above the most stable polymorph in this dataset, the calculation gives 0.0 meV per atom. Its crystal system is orthorhombic. The energy of formation comes out at 0.1 eV/f.u. The space-group type is Pmna (53).

abc: 7.2798 7.2714 10.2981
angles: 90.00 90.00 90.00
Sites, in units of the cell vectors:
Nd: 0.5002 0.3104 0.0000
Nd: 0.4998 0.8104 0.5000
Nd: 0.0001 0.3107 0.5000
Nd: 0.9999 0.8107 0.0000
Nd: 0.2479 0.5606 0.7501
Nd: 0.7521 0.0606 0.2501
Nd: 0.2479 0.5606 0.2499
Nd: 0.7521 0.0606 0.7499
Tb: 0.7522 0.5607 0.2499
Tb: 0.2478 0.0607 0.2501
Tb: 0.0000 0.3104 0.0000
Tb: 0.2478 0.0607 0.7499
Tb: 0.7522 0.5607 0.7501
Tb: 0.0000 0.8104 0.5000
Pr: 0.5000 0.3107 0.5000
Pr: 0.5000 0.8107 0.0000

3.
Computed, not measured: crystalline ZrSiHBr2 at its relaxed geometry at the PBE-GGA level of DFT.

Summary:
As for the density of states at the Fermi level: 4.84 states/eV per cell. As for the total energy: -3.9858 eV per atom. Its crystal system is tetragonal. The space-group type is P4/mmm (123).

abc: 5.3641 3.7955 5.3641
angles: 90.00 90.00 90.00
Sites, in units of the cell vectors:
H: 0.0000 0.5000 0.0000
Si: 0.5000 0.5000 0.5000
Zr: 0.0000 0.0000 0.0000
Br: 0.0000 0.0000 0.5000
Br: 0.5000 0.0000 0.0000

4.
Computed, not measured: crystalline K3Sb2Au at its relaxed geometry at the PBE-GGA level of DFT.

Summary:
The formation energy (no corrections) comes out at -0.438 eV/atom. Its crystal system is monoclinic. The space-group type is C2/c (15).

abc: 6.9021 6.9021 11.6829
angles: 67.49 67.49 60.86
Sites, in units of the cell vectors:
Au: 0.6835 0.3165 0.2500
Au: 0.3165 0.6835 0.7500
Sb: 0.4702 0.7272 0.9141
Sb: 0.5298 0.2728 0.0859
Sb: 0.2728 0.5298 0.5859
Sb: 0.7272 0.4702 0.4141
K: 0.7152 0.8981 0.5751
K: 0.2064 0.7936 0.2500
K: 0.8981 0.7152 0.0751
K: 0.7936 0.2064 0.7500
K: 0.1019 0.2848 0.9249
K: 0.2848 0.1019 0.4249

5.
Computed, not measured: crystalline Y2SeN at its relaxed geometry at the PBE-GGA level of DFT.

Summary:
As for the density of states at the Fermi level: 1.05 states/eV per cell. The formation energy (no corrections) comes out at -1.707 eV/atom. For the energy above the most stable polymorph in this dataset, the calculation gives 3.4 meV per atom. Its crystal system is trigonal. The space-group type is R-3m (166).

abc: 3.6805 3.6805 6.8585
angles: 74.44 74.44 60.00
Sites, in units of the cell vectors:
Y: 0.2671 0.2671 0.1986
Y: 0.7329 0.7329 0.8014
Se: 0.5000 0.5000 0.5000
N: 0.0000 0.0000 0.0000

6.
Computed, not measured: crystalline MnSnW at its relaxed geometry at the PBE-GGA level of DFT.

Summary:
As for the density of states at the Fermi level: 3.80 states/eV per cell. Its crystal system is orthorhombic. The energy of formation comes out at 1.3 eV/f.u. The space-group type is Amm2 (38).

abc: 3.3761 2.9104 12.6148
angles: 90.00 90.00 125.45
Sites, in units of the cell vectors:
W: 0.9095 0.8191 0.3506
W: 0.9095 0.8191 0.6494
Mn: 0.4077 0.8153 0.5000
Mn: 0.8979 0.7957 0.0000
Sn: 0.2710 0.5420 0.1668
Sn: 0.2710 0.5420 0.8332

7.
Computed, not measured: crystalline RuBr5Cl at its relaxed geometry at the PBE-GGA level of DFT.

Summary:
As for the density of states at the Fermi level: 1.47 states/eV per cell. The formation energy (no corrections) comes out at -0.057 eV/atom. Its crystal system is monoclinic. The space-group type is Cm (8).

abc: 12.5923 7.6015 8.5657
angles: 64.18 42.69 34.08
Sites, in units of the cell vectors:
Ru: 0.9109 0.5796 0.5986
Br: 0.7864 0.5072 0.5416
Br: 0.4357 0.1243 0.0042
Br: 0.8605 0.9355 0.3435
Br: 0.9574 0.2371 0.8482
Br: 0.1647 0.5072 0.5416
Cl: 0.4151 0.5783 0.5915

8.
Computed, not measured: crystalline CrSb2P at its relaxed geometry at the PBE-GGA level of DFT.

Summary:
As for the density of states at the Fermi level: 2.00 states/eV per cell. The formation energy (no corrections) comes out at 0.309 eV/atom. Its crystal system is trigonal. The space-group type is R-3m (166).

abc: 7.1943 7.1943 7.1943
angles: 30.77 30.77 30.77
Sites, in units of the cell vectors:
Cr: 0.2500 0.2500 0.2500
P: 0.7500 0.7500 0.7500
Sb: 0.0001 0.0001 0.0001
Sb: 0.4999 0.4999 0.4999

9.
Computed, not measured: crystalline Sr4InAs at its relaxed geometry at the PBE-GGA level of DFT.

Summary:
As for the density of states at the Fermi level: 7.77 states/eV per cell. Its crystal system is cubic. The energy of formation comes out at 1.9 eV/f.u. The space-group type is F-43m (216).

abc: 6.9120 6.9120 6.9120
angles: 60.00 60.00 60.00
Sites, in units of the cell vectors:
As: 0.7500 0.7500 0.7500
Sr: 0.3755 0.3755 0.8735
Sr: 0.8735 0.3755 0.3755
Sr: 0.3755 0.8735 0.3755
Sr: 0.3755 0.3755 0.3755
In: 0.0000 0.0000 0.0000

10.
Computed, not measured: crystalline Ho4ZnIr4 at its relaxed geometry at the PBE-GGA level of DFT.

Summary:
As for the density of states at the Fermi level: 11.17 states/eV per cell. Its crystal system is tetragonal. The energy of formation comes out at -5.3 eV/f.u. The space-group type is P4_2/n (86).

abc: 5.5499 8.4838 8.4838
angles: 90.00 90.00 90.00
Sites, in units of the cell vectors:
Ho: 0.8861 0.0551 0.6802
Ho: 0.1139 0.5551 0.1802
Ho: 0.6139 0.8198 0.0551
Ho: 0.1139 0.9449 0.3198
Ho: 0.6139 0.6802 0.4449
Ho: 0.3861 0.3198 0.5551
Ho: 0.8861 0.4449 0.8198
Ho: 0.3861 0.1802 0.9449
Zn: 0.2500 0.7500 0.7500
Zn: 0.7500 0.2500 0.2500
Ir: 0.6138 0.0003 0.3674
Ir: 0.1138 0.6326 0.5003
Ir: 0.8862 0.1326 0.0003
Ir: 0.6138 0.4997 0.1326
Ir: 0.3862 0.5003 0.8674
Ir: 0.1138 0.8674 0.9997
Ir: 0.8862 0.3674 0.4997
Ir: 0.3862 0.9997 0.6326

11.
Computed, not measured: crystalline Be2CrW2 at its relaxed geometry at the PBE-GGA level of DFT.

Summary:
As for the density of states at the Fermi level: 1.41 states/eV per cell. For the energy above the most stable polymorph in this dataset, the calculation gives 0.0 meV per atom. Its crystal system is tetragonal. The energy of formation comes out at -0.7 eV/f.u. The space-group type is P4/mbm (127).

abc: 6.0295 6.0295 3.2039
angles: 90.00 90.00 90.00
Sites, in units of the cell vectors:
Cr: 0.0000 0.0000 0.0000
Cr: 0.5000 0.5000 0.0000
Be: 0.1198 0.3802 0.0000
Be: 0.8802 0.6198 0.0000
Be: 0.6198 0.1198 0.0000
Be: 0.3802 0.8802 0.0000
W: 0.3224 0.1776 0.5000
W: 0.6776 0.8224 0.5000
W: 0.1776 0.6776 0.5000
W: 0.8224 0.3224 0.5000

12.
Computed, not measured: crystalline Pm3Al5O12 at its relaxed geometry at the PBE-GGA level of DFT.

Summary:
As for the density of states at the Fermi level: 0.00 states/eV per cell. The formation energy (no corrections) comes out at -3.214 eV/atom. Its crystal system is cubic. The space-group type is Ia-3d (230).

abc: 10.6541 10.6541 10.6541
angles: 109.47 109.47 109.47
Sites, in units of the cell vectors:
O: 0.3999 0.0157 0.3197
O: 0.5803 0.8843 0.3999
O: 0.1803 0.1001 0.9843
O: 0.3999 0.3843 0.5803
O: 0.0803 0.8999 0.3843
O: 0.1960 0.6803 0.0803
O: 0.6960 0.1157 0.0157
O: 0.6157 0.6001 0.9197
O: 0.3040 0.8843 0.9843
O: 0.1001 0.1803 0.4843
O: 0.4843 0.6803 0.1001
O: 0.9843 0.3843 0.3040
O: 0.8999 0.0803 0.8843
O: 0.4197 0.3040 0.3197
O: 0.1157 0.6960 0.5157
O: 0.8197 0.8999 0.0157
O: 0.5157 0.1960 0.1157
O: 0.3197 0.8040 0.4197
O: 0.6803 0.1960 0.5803
O: 0.4197 0.1157 0.6001
O: 0.5803 0.6960 0.6803
O: 0.6001 0.9843 0.6803
O: 0.1001 0.9197 0.1157
O: 0.1157 0.4197 0.1001
O: 0.3040 0.4197 0.8197
O: 0.0157 0.3999 0.8197
O: 0.3197 0.5157 0.3999
O: 0.9197 0.8197 0.8040
O: 0.4843 0.8040 0.8843
O: 0.9197 0.1001 0.6157
O: 0.8999 0.8197 0.5157
O: 0.3843 0.3999 0.0803
O: 0.8040 0.3197 0.9197
O: 0.9843 0.6001 0.1803
O: 0.0803 0.1803 0.1960
O: 0.8843 0.5803 0.8999
O: 0.3843 0.9843 0.8040
O: 0.1803 0.0803 0.6960
O: 0.8040 0.4843 0.3843
O: 0.8197 0.9197 0.3040
O: 0.5157 0.3197 0.8999
O: 0.0157 0.6157 0.6960
O: 0.6803 0.4843 0.6001
O: 0.6960 0.5803 0.1803
O: 0.6001 0.6157 0.4197
O: 0.1960 0.5157 0.6157
O: 0.6157 0.0157 0.1960
O: 0.8843 0.3040 0.4843
Al: 0.7500 0.1250 0.8750
Al: 0.3750 0.1250 0.7500
Al: 0.8750 0.6250 0.7500
Al: 0.7500 0.6250 0.3750
Al: 0.5000 0.0000 0.0000
Al: 0.5000 0.0000 0.5000
Al: 0.1250 0.3750 0.2500
Al: 0.2500 0.8750 0.1250
Al: 0.5000 0.5000 0.5000
Al: 0.3750 0.2500 0.1250
Al: 0.6250 0.7500 0.8750
Al: 0.6250 0.8750 0.2500
Al: 0.0000 0.5000 0.0000
Al: 0.0000 0.0000 0.0000
Al: 0.2500 0.3750 0.6250
Al: 0.8750 0.2500 0.6250
Al: 0.5000 0.5000 0.0000
Al: 0.0000 0.0000 0.5000
Al: 0.1250 0.7500 0.3750
Al: 0.0000 0.5000 0.5000
Pm: 0.6250 0.2500 0.3750
Pm: 0.3750 0.6250 0.2500
Pm: 0.7500 0.8750 0.6250
Pm: 0.8750 0.1250 0.2500
Pm: 0.1250 0.2500 0.8750
Pm: 0.7500 0.3750 0.1250
Pm: 0.6250 0.3750 0.7500
Pm: 0.8750 0.7500 0.1250
Pm: 0.3750 0.7500 0.6250
Pm: 0.2500 0.1250 0.3750
Pm: 0.1250 0.8750 0.7500
Pm: 0.2500 0.6250 0.8750